No. 1
Density functional theory data (GGA-PBE) for a relaxed structure of SmHfS4.

Output
E_form (uncorrected): -31.409 kcal/mol of atoms
Space-group type: P2_1/c (14)

Unit cell a=6.5471 b=6.6786 c=6.3373 alpha=90.00 beta=92.66 gamma=90.00
Atoms (fractional coordinates):
S 0.5966 0.1213 0.8649
S 0.8216 0.1682 0.3759
S 0.6784 0.6682 0.6241
S 0.3216 0.3318 0.3759
S 0.0966 0.3787 0.8649
Hf 0.5000 0.0000 0.5000
S 0.1784 0.8318 0.6241
Hf 0.0000 0.5000 0.5000
S 0.4034 0.8787 0.1351
Sm 0.0000 0.0000 0.0000
Sm 0.5000 0.5000 0.0000
S 0.9034 0.6213 0.1351

=====

No. 2
Density functional theory data (GGA-PBE) for a relaxed structure of Pm5Dy8Tm.

Output
Space-group type: C2 (5)
Formation enthalpy at 0 K: 0.1780 eV/atom

Unit cell a=8.6209 b=8.4776 c=8.6209 alpha=114.50 beta=98.08 gamma=117.34
Atoms (fractional coordinates):
Pm 0.1294 0.2700 0.1768
Dy 0.5034 0.8334 0.8058
Pm 0.5179 0.0000 0.5179
Tm 0.0176 0.5000 0.5176
Pm 0.9068 0.7300 0.8594
Pm 0.7121 0.8547 0.1781
Dy 0.9724 0.1666 0.6700
Dy 0.3837 0.3563 0.5966
Dy 0.0634 0.8337 0.3654
Pm 0.3235 0.1453 0.8574
Dy 0.7955 0.3560 0.0084
Dy 0.6524 0.6440 0.4395
Dy 0.5317 0.1663 0.2297
Dy 0.2403 0.6437 0.0274

=====

No. 3
Density functional theory data (GGA-PBE) for a relaxed structure of Li3AgSe.

Output
E_form (uncorrected): -5.031 kcal/mol of atoms
Polymorph energy (0 for the lowest one): 347.9 meV/atom
Space-group type: Pm-3m (221)

Unit cell a=4.7598 b=4.7598 c=4.7598 alpha=90.00 beta=90.00 gamma=90.00
Atoms (fractional coordinates):
Li 0.0000 0.0000 0.5000
Li 0.0000 0.5000 0.0000
Ag 0.0000 0.0000 0.0000
Se 0.5000 0.5000 0.5000
Li 0.5000 0.0000 0.0000

=====

No. 4
Density functional theory data (GGA-PBE) for a relaxed structure of La2GeHBr.

Output
Uncorrected energy: -4.143 eV/atom
Space-group type: P4/mmm (123)

Unit cell a=5.7420 b=3.8555 c=5.7420 alpha=90.00 beta=90.00 gamma=90.00
Atoms (fractional coordinates):
Br 0.0000 0.0000 0.0000
Ge 0.5000 0.5000 0.5000
H 0.0000 0.5000 0.0000
La 0.5000 0.0000 0.0000
La 0.0000 0.0000 0.5000

=====

No. 5
Density functional theory data (GGA-PBE) for a relaxed structure of Ac6GeTe3Se2.

Output
E_form (uncorrected): -35.938 kcal/mol of atoms
Space-group type: C2/m (12)

Unit cell a=7.9474 b=7.9474 c=8.1682 alpha=99.31 beta=99.31 gamma=119.98
Atoms (fractional coordinates):
Se 0.3336 0.6664 0.0000
Te 0.5000 0.5000 0.5000
Se 0.6664 0.3336 0.0000
Ge 0.0000 0.0000 0.0000
Ac 0.7481 0.7481 0.2260
Ac 0.4023 0.0747 0.2247
Te 0.8316 0.1684 0.5000
Ac 0.9253 0.5977 0.7753
Te 0.1684 0.8316 0.5000
Ac 0.5977 0.9253 0.7753
Ac 0.0747 0.4023 0.2247
Ac 0.2519 0.2519 0.7740

=====

No. 6
Density functional theory data (GGA-PBE) for a relaxed structure of SrIrAu2.

Output
Polymorph energy (0 for the lowest one): 196.8 meV/atom
Space-group type: P2/m (10)
Formation enthalpy at 0 K: -0.0040 eV/atom

Unit cell a=4.6460 b=3.9369 c=5.3331 alpha=89.90 beta=90.00 gamma=90.00
Last column: magnetic moment on the atom in μB.
Atoms (fractional coordinates):
Ir 0.5000 0.2500 0.2500  0.28
Sr 0.5000 0.7500 0.7500  0.00
Au 0.0000 0.2494 0.9996  0.01
Au 0.0000 0.2506 0.5004  0.01

=====

No. 7
Density functional theory data (GGA-PBE) for a relaxed structure of LiPm2Pr3Te6.

Output
E_form (uncorrected): -32.310 kcal/mol of atoms
Space-group type: C2/m (12)

Unit cell a=4.4772 b=8.9483 c=10.0077 alpha=102.96 beta=102.93 gamma=90.00
Atoms (fractional coordinates):
Pm 0.8324 0.6628 0.6648
Pr 0.1685 0.8314 0.3370
Te 0.6667 0.5811 0.3334
Te 0.3402 0.9174 0.6803
Te 0.3333 0.4189 0.6666
Li 0.5000 0.0000 0.0000
Pr 0.8315 0.1686 0.6630
Te 0.0008 0.2366 0.0016
Te 0.9992 0.7634 0.9984
Te 0.6598 0.0826 0.3197
Pr 0.5000 0.5000 0.0000
Pm 0.1676 0.3372 0.3352

=====

No. 8
Density functional theory data (GGA-PBE) for a relaxed structure of La2InNiBi.

Output
Space-group type: P4/mmm (123)
Formation enthalpy at 0 K: -0.5765 eV/atom

Unit cell a=5.4472 b=5.4472 c=4.9179 alpha=90.00 beta=90.00 gamma=90.00
Atoms (fractional coordinates):
Ni 0.0000 0.0000 0.0000
In 0.0000 0.0000 0.5000
La 0.5000 0.0000 0.0000
Bi 0.5000 0.5000 0.5000
La 0.0000 0.5000 0.0000

=====

No. 9
Density functional theory data (GGA-PBE) for a relaxed structure of Tc2OsSe.

Output
E_form (uncorrected): 8.689 kcal/mol of atoms
Space-group type: C2/m (12)

Unit cell a=4.9566 b=4.9566 c=4.4391 alpha=87.56 beta=87.56 gamma=34.44
Atoms (fractional coordinates):
Os 0.2500 0.2500 0.2500
Tc 0.9700 0.9700 0.0249
Tc 0.5300 0.5300 0.4751
Se 0.7500 0.7500 0.7500

=====

No. 10
Density functional theory data (GGA-PBE) for a relaxed structure of Dy4Al3Pd.

Output
Polymorph energy (0 for the lowest one): 15.5 meV/atom
Space-group type: Pmm2 (25)
Formation enthalpy at 0 K: -0.5062 eV/atom

Unit cell a=3.7486 b=4.4794 c=11.4410 alpha=90.00 beta=90.00 gamma=90.00
Atoms (fractional coordinates):
Dy 0.0000 0.0000 0.1445
Pd 0.5000 0.5000 0.0712
Dy 0.5000 0.5000 0.3400
Al 0.5000 0.0000 0.9295
Al 0.0000 0.5000 0.5665
Dy 0.0000 0.5000 0.8615
Al 0.0000 0.0000 0.4304
Dy 0.5000 0.0000 0.6564

=====

No. 11
Density functional theory data (GGA-PBE) for a relaxed structure of Ba2NaLiCr.

Output
Space-group type: P4/mmm (123)
Formation enthalpy at 0 K: 0.8135 eV/atom

Unit cell a=5.8966 b=5.3886 c=5.8966 alpha=90.00 beta=90.00 gamma=90.00
Last column: magnetic moment on the atom in μB.
Atoms (fractional coordinates):
Cr 0.0000 0.0000 0.0000  0.04
Ba 0.5000 0.0000 0.0000  -0.05
Li 0.0000 0.5000 0.0000  0.02
Na 0.5000 0.5000 0.5000  0.00
Ba 0.0000 0.0000 0.5000  -0.04

=====

No. 12
Density functional theory data (GGA-PBE) for a relaxed structure of Tl12AgS7.

Output
E_form (uncorrected): -4.743 kcal/mol of atoms
Space-group type: R-3 (148)

Unit cell a=9.1808 b=9.1808 c=9.1808 alpha=108.26 beta=108.26 gamma=108.26
Atoms (fractional coordinates):
Tl 0.1523 0.4088 0.4515
S 0.3357 0.0886 0.0585
Tl 0.5912 0.5485 0.8477
Tl 0.3245 0.7613 0.9537
S 0.6643 0.9114 0.9415
S 0.9415 0.6643 0.9114
S 0.0886 0.0585 0.3357
Tl 0.2387 0.0463 0.6755
Tl 0.8477 0.5912 0.5485
Ag 0.0000 0.0000 0.0000
Tl 0.5485 0.8477 0.5912
S 0.9114 0.9415 0.6643
Tl 0.6755 0.2387 0.0463
Tl 0.4088 0.4515 0.1523
Tl 0.7613 0.9537 0.3245
Tl 0.9537 0.3245 0.7613
S 0.5000 0.5000 0.5000
S 0.0585 0.3357 0.0886
Tl 0.4515 0.1523 0.4088
Tl 0.0463 0.6755 0.2387

=====

Please write out number 3 again, unchanged.
Density functional theory data (GGA-PBE) for a relaxed structure of Li3AgSe.

Output
E_form (uncorrected): -5.031 kcal/mol of atoms
Polymorph energy (0 for the lowest one): 347.9 meV/atom
Space-group type: Pm-3m (221)

Unit cell a=4.7598 b=4.7598 c=4.7598 alpha=90.00 beta=90.00 gamma=90.00
Atoms (fractional coordinates):
Li 0.0000 0.0000 0.5000
Li 0.0000 0.5000 0.0000
Ag 0.0000 0.0000 0.0000
Se 0.5000 0.5000 0.5000
Li 0.5000 0.0000 0.0000

=====

Copy entry 6 word for word.
Density functional theory data (GGA-PBE) for a relaxed structure of SrIrAu2.

Output
Polymorph energy (0 for the lowest one): 196.8 meV/atom
Space-group type: P2/m (10)
Formation enthalpy at 0 K: -0.0040 eV/atom

Unit cell a=4.6460 b=3.9369 c=5.3331 alpha=89.90 beta=90.00 gamma=90.00
Last column: magnetic moment on the atom in μB.
Atoms (fractional coordinates):
Ir 0.5000 0.2500 0.2500  0.28
Sr 0.5000 0.7500 0.7500  0.00
Au 0.0000 0.2494 0.9996  0.01
Au 0.0000 0.2506 0.5004  0.01

=====

Question: Number 5 is which compound?
Answer: Ac6GeTe3Se2